A geometry-optimized LiSmNi structure, computed with PBE-GGA.

a = 4.252 Å, b = 4.252 Å, c = 3.702 Å
α = 90.00°, β = 90.00°, γ = 120.00°
Element x y z (fractional)
Li: 0.000 0.000 0.000
Sm: 0.667 0.333 0.500
Ni: 0.333 0.667 0.000

Results
relative energy among the computed polymorphs: 0.415 eV/f.u.
E_form: -0.07 eV/atom